Here is a relaxed Rb3Ce3ErSe8 crystal from the Alexandria database. Energies are from PBE-GGA.

Lattice parameters (Å, degrees): 8.5996 8.5996 24.3026 90.00 90.00 120.00
Space group R-3m (No. 166, hexagonal axes)
Inequivalent atoms, fractional coordinates:
Rb 0.0000 0.5000 0.0000 (multiplicity 9)
Ce 0.0000 0.5000 0.5000 (multiplicity 9)
Er 0.0000 0.0000 0.5000 (multiplicity 3)
Se 0.0000 0.0000 0.2328 (multiplicity 6)
Se 0.0065 0.5033 0.2303 (multiplicity 18)

Crystal system: trigonal

Here is a relaxed RbCeEr4Se8 crystal from the Alexandria database. Energies are from PBE-GGA.

Lattice parameters (Å, degrees): 8.5467 8.5467 21.6679 90.00 90.00 120.00
Space group R3m (No. 160, hexagonal axes)
Inequivalent atoms, fractional coordinates:
Rb 0.0000 0.0000 0.0000 (multiplicity 3)
Ce 0.0000 0.0000 0.3650 (multiplicity 3)
Er 0.0000 0.0000 0.7436 (multiplicity 3)
Er 0.0117 0.5058 0.8710 (multiplicity 9)
Se 0.0000 0.0000 0.1391 (multiplicity 3)
Se 0.0000 0.0000 0.6126 (multiplicity 3)
Se 0.0132 0.5066 0.1245 (multiplicity 9)
Se 0.1875 0.3750 0.9428 (multiplicity 9)

Crystal system: trigonal

Here is a relaxed Rb2CeErTe4 crystal from the Alexandria database. Energies are from PBE-GGA.

Lattice parameters (Å, degrees): 7.970 4.596 8.942 90.00 107.22 90.00
Space group P2/m (No. 10)
Inequivalent atoms, fractional coordinates:
Rb 0.000 0.000 0.000 (multiplicity 1)
Rb 0.500 0.500 0.000 (multiplicity 1)
Ce 0.000 0.500 0.500 (multiplicity 1)
Er 0.500 0.000 0.500 (multiplicity 1)
Te 0.244 0.000 0.703 (multiplicity 2)
Te 0.276 0.500 0.301 (multiplicity 2)

Crystal system: monoclinic

Here is a relaxed Rb4CeEr3Te8 crystal from the Alexandria database. Energies are from PBE-GGA.

Lattice parameters (Å, degrees): 9.1010 9.1010 25.6392 90.00 90.00 120.00
Space group R-3m (No. 166, hexagonal axes)
Inequivalent atoms, fractional coordinates:
Rb 0.0000 0.0000 0.0000 (multiplicity 3)
Rb 0.0000 0.5000 0.0000 (multiplicity 9)
Ce 0.0000 0.0000 0.5000 (multiplicity 3)
Er 0.0000 0.5000 0.5000 (multiplicity 9)
Te 0.0000 0.0000 0.2321 (multiplicity 6)
Te 0.0095 0.5048 0.7666 (multiplicity 18)

Crystal system: trigonal

Here is a relaxed Rb3CeEr2Te6 crystal from the Alexandria database. Energies are from PBE-GGA.

Lattice parameters (Å, degrees): 7.910 13.703 8.944 90.00 107.16 90.00
Space group C2/m (No. 12)
Inequivalent atoms, fractional coordinates:
Rb 0.000 0.000 0.000 (multiplicity 2)
Rb 0.000 0.336 0.000 (multiplicity 4)
Ce 0.000 0.500 0.500 (multiplicity 2)
Er 0.000 0.167 0.500 (multiplicity 4)
Te 0.222 0.000 0.699 (multiplicity 4)
Te 0.239 0.328 0.700 (multiplicity 8)

Crystal system: monoclinic

Here is a relaxed Rb3CeEr3Te8 crystal from the Alexandria database. Energies are from PBE-GGA.

Lattice parameters (Å, degrees): 8.9147 8.9147 26.1010 90.00 90.00 120.00
Space group R-3m (No. 166, hexagonal axes)
Inequivalent atoms, fractional coordinates:
Rb 0.0000 0.5000 0.0000 (multiplicity 9)
Ce 0.0000 0.0000 0.5000 (multiplicity 3)
Er 0.0000 0.5000 0.5000 (multiplicity 9)
Te 0.0000 0.0000 0.2323 (multiplicity 6)
Te 0.0044 0.5022 0.7677 (multiplicity 18)

Crystal system: trigonal

Electronic total energy readings, ordered: -5.249 -5.474 -4.473 -4.394 -4.420 -4.512 eV/atom
Formation energy without anion corrections readings, ordered: -1.7064 -1.6862 -1.3477 -1.3546 -1.3522 -1.3348 eV per atom